Compound: CsHg3Au3
Source: Alexandria
Functional: GGA-PBE
Structure: optimized geometry

a = 7.929 Å, b = 7.929 Å, c = 7.929 Å
α = 90.00°, β = 90.00°, γ = 90.00°
Fractional coordinates of all 14 atoms:
1 Cs 0.000 0.000 0.000
2 Cs 0.500 0.500 0.500
3 Hg 0.000 0.250 0.500
4 Hg 0.000 0.750 0.500
5 Hg 0.250 0.500 0.000
6 Hg 0.500 0.000 0.250
7 Hg 0.500 0.000 0.750
8 Hg 0.750 0.500 0.000
9 Au 0.000 0.500 0.250
10 Au 0.000 0.500 0.750
11 Au 0.250 0.000 0.500
12 Au 0.500 0.250 0.000
13 Au 0.500 0.750 0.000
14 Au 0.750 0.000 0.500

Results
- Relative energy among the computed polymorphs: 67 meV per atom
- E: -1.68 eV/atom
- Total magnetic moment: 0.0 Bohr magnetons per cell
- Formation energy: -0.027 eV/atom
- Crystal system: cubic
- D(E_F): 2.00 states/eV/f.u.
- SG: Pm-3n

***

Compound: Hf2Zr2Pa7
Source: Alexandria
Functional: GGA-PBE
Structure: optimized geometry

a = 5.537 Å, b = 5.537 Å, c = 9.319 Å
α = 94.39°, β = 94.39°, γ = 107.93°
Fractional coordinates of all 11 atoms:
1 Hf 0.228 0.772 0.000
2 Hf 0.772 0.228 0.000
3 Zr 0.319 0.319 0.157
4 Zr 0.681 0.681 0.843
5 Pa 0.123 0.739 0.639
6 Pa 0.220 0.220 0.803
7 Pa 0.261 0.877 0.361
8 Pa 0.500 0.500 0.500
9 Pa 0.739 0.123 0.639
10 Pa 0.780 0.780 0.197
11 Pa 0.877 0.261 0.361

Results
- E: -9.27 eV/atom
- Total magnetic moment: 0.0 Bohr magnetons per cell
- Formation energy: 0.140 eV/atom
- Crystal system: monoclinic
- D(E_F): 20.64 states/eV/f.u.
- SG: C2/m

***

Number 1 is which compound? CsHg3Au3